Here is Ag2BiAuCl6 after structural relaxation from Alexandria. Energies are from PBE.

## Properties
Its energy relative to the elements, uncorrected is -0.600 eV/atom.

```
data_Ag2BiAuCl6
_space_group_name_H-M_alt 'P 1'
_space_group_IT_number 1
_cell_length_a 6.9464
_cell_length_b 7.3514
_cell_length_c 7.4781
_cell_angle_alpha 106.29
_cell_angle_beta 112.83
_cell_angle_gamma 107.02
loop_
_space_group_symop_operation_xyz
'x,y,z'
loop_
_atom_site_label
_atom_site_fract_x
_atom_site_fract_y
_atom_site_fract_z
Ag1 0.0000 0.0000 0.0000
Ag2 0.2951 0.6055 0.8865
Bi1 0.9740 0.5358 0.2927
Au1 0.4588 0.0208 0.2621
Cl1 0.0040 0.3302 0.9437
Cl2 0.1632 0.3272 0.4682
Cl3 0.4200 0.8633 0.4811
Cl4 0.5203 0.1976 0.0634
Cl5 0.7386 0.7362 0.0699
Cl6 0.9654 0.7000 0.6630
```



Here is ErAgBiAu after structural relaxation from Alexandria. Energies are from PBE.

## Properties
As for the calculated formation energy: -37 kJ per mole of atoms.

```
data_ErAgBiAu
_space_group_name_H-M_alt 'F -4 3 m'
_space_group_IT_number 216
_space_group_name_Hall 'F -4 2 3'
_cell_length_a 7.1949
_cell_length_b 7.1949
_cell_length_c 7.1949
_cell_angle_alpha 90.00
_cell_angle_beta 90.00
_cell_angle_gamma 90.00
loop_
_atom_site_label
_atom_site_fract_x
_atom_site_fract_y
_atom_site_fract_z
Er1 0.0000 0.0000 0.0000
Ag1 0.2500 0.2500 0.2500
Bi1 0.0000 0.0000 0.5000
Au1 0.2500 0.2500 0.7500
```



Here is EuAgBiAu after structural relaxation from Alexandria. Energies are from PBE.

## Properties
As for the calculated formation energy: -42 kJ per mole of atoms.

```
data_EuAgBiAu
_space_group_name_H-M_alt 'F -4 3 m'
_space_group_IT_number 216
_space_group_name_Hall 'F -4 2 3'
_cell_length_a 7.3425
_cell_length_b 7.3425
_cell_length_c 7.3425
_cell_angle_alpha 90.00
_cell_angle_beta 90.00
_cell_angle_gamma 90.00
loop_
_atom_site_label
_atom_site_fract_x
_atom_site_fract_y
_atom_site_fract_z
Eu1 0.0000 0.0000 0.0000
Ag1 0.2500 0.2500 0.7500
Bi1 0.0000 0.0000 0.5000
Au1 0.2500 0.2500 0.2500
```



Here is AgBi2AuF after structural relaxation from Alexandria. Energies are from PBE.

## Properties
Its energy relative to the elements, uncorrected is 0.194 eV/atom.

```
data_AgBi2AuF
_space_group_name_H-M_alt 'P 4/m m m'
_space_group_IT_number 123
_space_group_name_Hall '-P 4 2'
_cell_length_a 5.4518
_cell_length_b 5.4518
_cell_length_c 5.2919
_cell_angle_alpha 90.00
_cell_angle_beta 90.00
_cell_angle_gamma 90.00
loop_
_atom_site_label
_atom_site_fract_x
_atom_site_fract_y
_atom_site_fract_z
Ag1 0.0000 0.0000 0.0000
Bi1 0.0000 0.5000 0.5000
Au1 0.0000 0.0000 0.5000
F1 0.5000 0.5000 0.0000
```



Here is GaAgBiAu after structural relaxation from Alexandria. Energies are from PBE.

## Properties
As for the calculated formation energy: 8 kJ per mole of atoms.

```
data_GaAgBiAu
_space_group_name_H-M_alt 'F -4 3 m'
_space_group_IT_number 216
_space_group_name_Hall 'F -4 2 3'
_cell_length_a 7.0450
_cell_length_b 7.0450
_cell_length_c 7.0450
_cell_angle_alpha 90.00
_cell_angle_beta 90.00
_cell_angle_gamma 90.00
loop_
_atom_site_label
_atom_site_fract_x
_atom_site_fract_y
_atom_site_fract_z
Ga1 0.0000 0.0000 0.0000
Ag1 0.2500 0.2500 0.2500
Bi1 0.0000 0.0000 0.5000
Au1 0.2500 0.2500 0.7500
```



Here is GaAgBiAu2 after structural relaxation from Alexandria. Energies are from PBE.

## Properties
As for the calculated formation energy: 49 kJ per mole of atoms.

```
data_GaAgBiAu2
_space_group_name_H-M_alt 'P 4/m m m'
_space_group_IT_number 123
_space_group_name_Hall '-P 4 2'
_cell_length_a 5.4744
_cell_length_b 5.4744
_cell_length_c 5.3665
_cell_angle_alpha 90.00
_cell_angle_beta 90.00
_cell_angle_gamma 90.00
loop_
_atom_site_label
_atom_site_fract_x
_atom_site_fract_y
_atom_site_fract_z
Ga1 0.0000 0.0000 0.0000
Ag1 0.5000 0.5000 0.0000
Bi1 0.5000 0.5000 0.5000
Au1 0.0000 0.5000 0.5000
```



Here is GdAgBiAu after structural relaxation from Alexandria. Energies are from PBE.

## Properties
As for the calculated formation energy: -42 kJ per mole of atoms.

```
data_GdAgBiAu
_space_group_name_H-M_alt 'F -4 3 m'
_space_group_IT_number 216
_space_group_name_Hall 'F -4 2 3'
_cell_length_a 7.2539
_cell_length_b 7.2539
_cell_length_c 7.2539
_cell_angle_alpha 90.00
_cell_angle_beta 90.00
_cell_angle_gamma 90.00
loop_
_atom_site_label
_atom_site_fract_x
_atom_site_fract_y
_atom_site_fract_z
Gd1 0.0000 0.0000 0.0000
Ag1 0.2500 0.2500 0.2500
Bi1 0.0000 0.0000 0.5000
Au1 0.2500 0.2500 0.7500
```



Here is AgGeBiAu after structural relaxation from Alexandria. Energies are from PBE.

## Properties
As for the calculated formation energy: 16 kJ per mole of atoms.

```
data_AgGeBiAu
_space_group_name_H-M_alt 'F -4 3 m'
_space_group_IT_number 216
_space_group_name_Hall 'F -4 2 3'
_cell_length_a 7.0488
_cell_length_b 7.0488
_cell_length_c 7.0488
_cell_angle_alpha 90.00
_cell_angle_beta 90.00
_cell_angle_gamma 90.00
loop_
_atom_site_label
_atom_site_fract_x
_atom_site_fract_y
_atom_site_fract_z
Ag1 0.0000 0.0000 0.0000
Ge1 0.2500 0.2500 0.7500
Bi1 0.2500 0.2500 0.2500
Au1 0.0000 0.0000 0.5000
```



Here is AgBi2HAu after structural relaxation from Alexandria. Energies are from PBE.

## Properties
The calculation puts the energy at -16.32 eV per cell.

```
data_AgBi2HAu
_space_group_name_H-M_alt 'P 4/m m m'
_space_group_IT_number 123
_space_group_name_Hall '-P 4 2'
_cell_length_a 5.7517
_cell_length_b 5.7517
_cell_length_c 3.4189
_cell_angle_alpha 90.00
_cell_angle_beta 90.00
_cell_angle_gamma 90.00
loop_
_atom_site_label
_atom_site_fract_x
_atom_site_fract_y
_atom_site_fract_z
Ag1 0.0000 0.0000 0.0000
Bi1 0.0000 0.5000 0.5000
H1 0.5000 0.5000 0.0000
Au1 0.5000 0.5000 0.5000
```



Here is Hf2AgBiAu after structural relaxation from Alexandria. Energies are from PBE.

## Properties
As for the calculated formation energy: 101 kJ per mole of atoms.

```
data_Hf2AgBiAu
_space_group_name_H-M_alt 'P 4/m m m'
_space_group_IT_number 123
_space_group_name_Hall '-P 4 2'
_cell_length_a 5.1345
_cell_length_b 5.1345
_cell_length_c 5.2596
_cell_angle_alpha 90.00
_cell_angle_beta 90.00
_cell_angle_gamma 90.00
loop_
_atom_site_label
_atom_site_fract_x
_atom_site_fract_y
_atom_site_fract_z
Hf1 0.0000 0.5000 0.0000
Ag1 0.0000 0.0000 0.0000
Bi1 0.0000 0.0000 0.5000
Au1 0.5000 0.5000 0.5000
```



Here is AgHgBiAu after structural relaxation from Alexandria. Energies are from PBE.

## Properties
As for the calculated formation energy: 13 kJ per mole of atoms.

```
data_AgHgBiAu
_space_group_name_H-M_alt 'F -4 3 m'
_space_group_IT_number 216
_space_group_name_Hall 'F -4 2 3'
_cell_length_a 7.1233
_cell_length_b 7.1233
_cell_length_c 7.1233
_cell_angle_alpha 90.00
_cell_angle_beta 90.00
_cell_angle_gamma 90.00
loop_
_atom_site_label
_atom_site_fract_x
_atom_site_fract_y
_atom_site_fract_z
Ag1 0.0000 0.0000 0.0000
Hg1 0.2500 0.2500 0.2500
Bi1 0.2500 0.2500 0.7500
Au1 0.0000 0.0000 0.5000
```



Here is HoAgBiAu after structural relaxation from Alexandria. Energies are from PBE.

## Properties
As for the calculated formation energy: -38 kJ per mole of atoms.

```
data_HoAgBiAu
_space_group_name_H-M_alt 'F -4 3 m'
_space_group_IT_number 216
_space_group_name_Hall 'F -4 2 3'
_cell_length_a 7.2082
_cell_length_b 7.2082
_cell_length_c 7.2082
_cell_angle_alpha 90.00
_cell_angle_beta 90.00
_cell_angle_gamma 90.00
loop_
_atom_site_label
_atom_site_fract_x
_atom_site_fract_y
_atom_site_fract_z
Ho1 0.0000 0.0000 0.0000
Ag1 0.2500 0.2500 0.7500
Bi1 0.0000 0.0000 0.5000
Au1 0.2500 0.2500 0.2500
```



Here is In2Ag7Bi2Au after structural relaxation from Alexandria. Energies are from PBE.

## Properties
As for the calculated formation energy: 7 kJ per mole of atoms.

```
data_In2Ag7Bi2Au
_space_group_name_H-M_alt 'C 1 2/m 1'
_space_group_IT_number 12
_cell_length_a 5.7969
_cell_length_b 5.8032
_cell_length_c 15.9788
_cell_angle_alpha 90.00
_cell_angle_beta 99.88
_cell_angle_gamma 90.00
loop_
_space_group_symop_operation_xyz
'x,y,z'
'-x,-y,-z'
'-x,y,-z'
'x,-y,z'
'x+1/2,y+1/2,z'
'-x+1/2,-y+1/2,-z'
'-x+1/2,y+1/2,-z'
'x+1/2,-y+1/2,z'
loop_
_atom_site_label
_atom_site_fract_x
_atom_site_fract_y
_atom_site_fract_z
In1 0.1292 0.0000 0.2704
Ag1 0.0000 0.0000 0.0000
Ag2 0.1859 0.2498 0.8644
Ag3 0.2218 0.0000 0.4552
Bi1 0.1737 0.5000 0.3609
Au1 0.0000 0.5000 0.0000
```



Size of the total moment for the records above, in order: 0.0 0.0 27.6 0.0 0.0 0.0 28.2 0.0 0.0 0.0 0.0 0.0 0.0 μB/cell